Record 1
SrIr5 | PBE | relaxed

abc: 12.1607 2.7856 6.5043
angles: 90.00 99.76 90.00
Atoms (fractional coordinates):
Sr 0.0000 0.0000 0.0000
Sr 0.5000 0.5000 0.0000
Ir 0.0467 0.0000 0.5444
Ir 0.1824 0.5000 0.3435
Ir 0.2331 0.5000 0.7432
Ir 0.2787 0.0000 0.0776
Ir 0.3661 0.0000 0.5036
Ir 0.5467 0.5000 0.5444
Ir 0.6824 0.0000 0.3435
Ir 0.7331 0.0000 0.7432
Ir 0.7787 0.5000 0.0776
Ir 0.8661 0.5000 0.5036

Summary:
- mass density (g cm⁻³) = 16.039
- E_form (eV/atom) = 0.16


Record 2
CaCuHg2 | PBE | relaxed

abc: 3.6430 4.5112 5.8840
angles: 90.00 101.97 90.00
Atoms (fractional coordinates):
Ca 0.0000 0.0000 0.0000
Cu 0.5000 0.0000 0.5000
Hg 0.3891 0.5000 0.7303
Hg 0.6109 0.5000 0.2697

Summary:
- mass density (g cm⁻³) = 8.861
- E_form (eV/atom) = -0.16


Record 3
Hg2SbSe | PBE | relaxed

abc: 3.7568 5.1470 12.6100
angles: 90.00 90.00 90.00
Atoms (fractional coordinates):
Hg 0.0000 0.0000 0.0000
Hg 0.0000 0.5000 0.1690
Hg 0.5000 0.0000 0.6690
Hg 0.5000 0.5000 0.5000
Sb 0.0000 0.0000 0.4326
Sb 0.5000 0.5000 0.9326
Se 0.0000 0.5000 0.7828
Se 0.5000 0.0000 0.2828

Summary:
- mass density (g cm⁻³) = 8.198
- energy relative to the elements, uncorrected (kcal/mol of atoms) = 0.8


Record 4
Li2PPd6 | PBE | relaxed

abc: 5.8831 5.8831 5.8831
angles: 60.00 60.00 60.00
Atoms (fractional coordinates):
Li 0.2500 0.2500 0.2500
Li 0.7500 0.7500 0.7500
P 0.0000 0.0000 0.0000
Pd 0.2662 0.2662 0.7338
Pd 0.2662 0.7338 0.2662
Pd 0.2662 0.7338 0.7338
Pd 0.7338 0.2662 0.2662
Pd 0.7338 0.2662 0.7338
Pd 0.7338 0.7338 0.2662

Summary:
- mass density (g cm⁻³) = 7.882
- E_form (eV/atom) = -0.46
- ΔE to the lowest computed polymorph (meV per atom) = 0


| no. | total magnetic moment (μB/cell) |
| --- | --- |
| 1 | 0.0 |
| 2 | 0.0 |
| 3 | 0.0 |
| 4 | 0.0 |